Crystalline NdSm2In3 at its relaxed geometry, computed with PBE.

Values from the calculation:
E_form in eV/atom: -0.49
E in eV per atom: -4.231
DOS at the Fermi energy in states/eV/atom: 0.489
Total magnetic moment in Bohr magnetons per cell: 0.00
Crystal system: orthorhombic

CIF file:
```
data_NdSm2In3
_cell_length_a 5.441
_cell_length_b 16.329
_cell_length_c 7.684
_cell_angle_alpha 90.00
_cell_angle_beta 90.00
_cell_angle_gamma 90.00
_space_group_name_H-M_alt 'C m m m'
_space_group_IT_number 65
_space_group_name_Hall '-C 2 2'
loop_
_atom_site_label
_atom_site_type_symbol
_atom_site_fract_x
_atom_site_fract_y
_atom_site_fract_z
Nd1 Nd 0.000 0.166 0.000
Sm1 Sm 0.000 0.168 0.500
Sm2 Sm 0.000 0.500 0.000
Sm3 Sm 0.000 0.500 0.500
In1 In 0.000 0.000 0.254
In2 In 0.000 0.334 0.253
```